Y2VIn: optimized geometry, GGA-PBE.

```
Y2VIn
1.0
8.204 0.000 0.000
0.000 8.204 0.000
0.000 0.000 6.220
Y V In
8 4 4
Direct
0.227 0.250 0.125 Y
0.250 0.727 0.375 Y
0.250 0.773 0.875 Y
0.273 0.250 0.625 Y
0.727 0.750 0.625 Y
0.750 0.227 0.875 Y
0.750 0.273 0.375 Y
0.773 0.750 0.125 Y
0.000 0.000 0.000 V
0.000 0.500 0.250 V
0.500 0.000 0.750 V
0.500 0.500 0.500 V
0.000 0.000 0.500 In
0.000 0.500 0.750 In
0.500 0.000 0.250 In
0.500 0.500 0.000 In
```

Results
- M_tot (Bohr magnetons per cell) = 11.0
- formation energy (eV per atom) = 0.408